BeMo3 | PBE | optimized geometry

Cell: 4.0665 4.0665 3.4675 Å, 90.00 90.00 90.00°
Last column: nearest neighbours and their distance in Å.
Space group P4/mmm (No. 123)
Unique sites:
Be  0.0000  0.0000  0.0000  12 Mo 2.67-2.88
Mo  0.0000  0.5000  0.5000  8 Mo 2.67-2.88, 4 Be 2.67
Mo  0.5000  0.5000  0.0000  8 Mo 2.67, 4 Be 2.88

* calculated formation energy: 140 meV/atom
* total moment: 0.00 μB/cell
* calculated volume: 57 Å³/cell
* ΔE to the lowest computed polymorph: 0.62 eV/f.u.
* mass density: 8.596 g cm⁻³
* crystal system: tetragonal

***

La4CeY3S8 | PBE | optimized geometry

Cell: 8.0717 8.0717 19.9692 Å, 90.00 90.00 120.00°
Last column: nearest neighbours and their distance in Å.
Space group R-3m (No. 166, hexagonal axes)
Unique sites:
La  0.0000  0.0000  0.0000  6 S 2.90
La  0.0000  0.5000  0.0000  6 S 2.94
Ce  0.0000  0.0000  0.5000  6 S 2.83
Y  0.0000  0.5000  0.5000  6 S 2.79
S  0.0000  0.0000  0.2436  3 Y 2.79, 3 La 2.94
S  0.0042  0.5021  0.7555  2 Y 2.79, 1 Ce 2.83, 3 La 2.90-2.94

* total moment: 1.36 μB/cell
* calculated volume: 1127 Å³/cell
* final energy: -0.2561 Ha/atom
* mass density: 5.389 g cm⁻³
* crystal system: trigonal